Record 1
Below is PRuW2 after structural relaxation, with properties calculated at the GGA-PBE level.

The structure belongs to space group P2/m (No. 10); the cell edges are 2.804, 4.002 and 5.276 Å and the angles 90.00°, 100.13° and 90.00°. The asymmetric unit holds P at (0.000, 0.000, 0.000), Ru at (0.000, 0.000, 0.500) and W at (0.432, 0.500, 0.241).

The total energy is -0.37008 hartree per atom. As for the energy of formation from the pure elements: 78 meV/atom. For the density of states at the Fermi level, the calculation gives 2.24 states/eV per cell.

Record 2
Below is CoTcAs2 after structural relaxation, with properties calculated at the GGA-PBE level.

The structure belongs to space group Cmmm (No. 65); the cell edges are 3.232, 4.925 and 7.420 Å and the angles 90.00°, 90.00° and 90.00°. The asymmetric unit holds Co at (0.000, 0.000, 0.000), Tc at (0.000, 0.000, 0.500) and As at (0.000, 0.500, 0.235).

The total energy is -0.23473 hartree per atom. As for the energy of formation from the pure elements: 305 meV/atom. For the density of states at the Fermi level, the calculation gives 5.52 states/eV per cell.

Record 3
Below is BaICl after structural relaxation, with properties calculated at the GGA-PBE level.

The structure belongs to space group Ima2 (No. 46); the cell edges are 10.270, 14.771 and 8.528 Å and the angles 90.00°, 90.00° and 90.00°. The asymmetric unit holds Ba at (0.000, 0.167, 0.000), Ba at (0.250, 0.000, 0.500), I at (0.250, 0.000, 0.915), I at (0.250, 0.207, 0.293), I at (0.250, 0.708, 0.792), Cl at (0.000, 0.000, 0.247) and Cl at (0.000, 0.127, 0.627).

As for the uncorrected formation energy: -6.50 eV per formula unit. The total energy is -0.14478 hartree per atom. For the density of states at the Fermi level, the calculation gives 0.00 states/eV per cell.

Record 4
Below is Tm4CoAu after structural relaxation, with properties calculated at the GGA-PBE level.

The structure belongs to space group C2/m (No. 12); the cell edges are 6.719, 6.719 and 6.814 Å and the angles 90.00°, 90.11° and 90.00°. The asymmetric unit holds Tm at (0.250, 0.250, 0.234), Co at (0.000, 0.000, 0.000) and Au at (0.000, 0.500, 0.500).

The total energy is -0.18398 hartree per atom. As for the energy of formation from the pure elements: -295 meV/atom. For the density of states at the Fermi level, the calculation gives 12.13 states/eV per cell.

Record 5
Below is Ca3Ge4Au7 after structural relaxation, with properties calculated at the GGA-PBE level.

The structure belongs to space group Pnnm (No. 58); the cell edges are 9.946, 13.069 and 4.468 Å and the angles 90.00°, 90.00° and 90.00°. The asymmetric unit holds Ca at (0.000, 0.000, 0.000), Ca at (0.003, 0.313, 0.000), Ge at (0.147, 0.814, 0.500), Ge at (0.230, 0.621, 0.500), Au at (0.000, 0.500, 0.500), Au at (0.107, 0.159, 0.500), Au at (0.195, 0.499, 0.000) and Au at (0.244, 0.360, 0.500).

The total energy is -0.14300 hartree per atom. As for the energy of formation from the pure elements: -504 meV/atom. For the density of states at the Fermi level, the calculation gives 9.98 states/eV per cell.

Record 6
Below is Nd2CuPt2 after structural relaxation, with properties calculated at the GGA-PBE level.

The structure belongs to space group C2/m (No. 12); the cell edges are 10.916, 4.243 and 10.873 Å and the angles 90.00°, 118.18° and 90.00°. The asymmetric unit holds Nd at (0.019, 0.000, 0.342), Nd at (0.187, 0.000, 0.108), Cu at (0.213, 0.500, 0.340), Pt at (0.034, 0.500, 0.887) and Pt at (0.144, 0.500, 0.573).

The total energy is -0.22083 hartree per atom. As for the energy of formation from the pure elements: -866 meV/atom. For the density of states at the Fermi level, the calculation gives 12.05 states/eV per cell.

Record 7
Below is Ni5Te12Rh after structural relaxation, with properties calculated at the GGA-PBE level.

The structure belongs to space group C2/m (No. 12); the cell edges are 6.722, 11.677 and 11.365 Å and the angles 90.00°, 102.28° and 90.00°. The asymmetric unit holds Ni at (0.000, 0.000, 0.000), Ni at (0.000, 0.167, 0.500), Ni at (0.000, 0.333, 0.000), Te at (0.114, 0.000, 0.381), Te at (0.127, 0.329, 0.381), Te at (0.208, 0.500, 0.117), Te at (0.209, 0.167, 0.118) and Rh at (0.000, 0.500, 0.500).

As for the uncorrected formation energy: -4.37 eV per formula unit. The total energy is -0.15992 hartree per atom. For the density of states at the Fermi level, the calculation gives 18.19 states/eV per cell.

Record 8
Below is CaTl2Ir after structural relaxation, with properties calculated at the GGA-PBE level.

The structure belongs to space group Fm-3m (No. 225); the cell edges are 7.032, 7.032 and 7.032 Å and the angles 90.00°, 90.00° and 90.00°. The asymmetric unit holds Ca at (0.000, 0.000, 0.000), Tl at (0.250, 0.250, 0.250) and Ir at (0.000, 0.000, 0.500).

The total energy is -0.14407 hartree per atom. As for the energy of formation from the pure elements: -21 meV/atom. For the density of states at the Fermi level, the calculation gives 7.64 states/eV per cell.

Record 9
Below is OsPbAu2 after structural relaxation, with properties calculated at the GGA-PBE level.

The structure belongs to space group P4/mmm (No. 123); the cell edges are 3.034, 3.034 and 8.642 Å and the angles 90.00°, 90.00° and 90.00°. The asymmetric unit holds Os at (0.000, 0.000, 0.000), Pb at (0.000, 0.000, 0.500) and Au at (0.500, 0.500, 0.209).

The total energy is -0.17523 hartree per atom. As for the energy of formation from the pure elements: 605 meV/atom. For the density of states at the Fermi level, the calculation gives 3.17 states/eV per cell.

Record 10
Below is SmEr4Pd2 after structural relaxation, with properties calculated at the GGA-PBE level.

The structure belongs to space group R-3m (No. 166, hexagonal axes); the cell edges are 3.8564, 3.8564 and 46.2990 Å and the angles 90.00°, 90.00° and 120.00°. The asymmetric unit holds Sm at (0.0000, 0.0000, 0.0000), Er at (0.0000, 0.0000, 0.1978), Er at (0.0000, 0.0000, 0.3951) and Pd at (0.0000, 0.0000, 0.0986).

The total energy is -0.18903 hartree per atom. As for the energy of formation from the pure elements: -379 meV/atom. For the density of states at the Fermi level, the calculation gives 26.75 states/eV per cell.

Record 11
Below is K2LiSe after structural relaxation, with properties calculated at the GGA-PBE level.

The structure belongs to space group Imm2 (No. 44); the cell edges are 4.041, 5.583 and 13.963 Å and the angles 90.00°, 90.00° and 90.00°. The asymmetric unit holds K at (0.000, 0.000, 0.000), K at (0.000, 0.500, 0.181), Li at (0.000, 0.000, 0.299) and Se at (0.000, 0.500, 0.695).

As for the uncorrected formation energy: -2.82 eV per formula unit. The total energy is -0.09569 hartree per atom. For the density of states at the Fermi level, the calculation gives 2.97 states/eV per cell.

Record 12
Below is Zr6CdSn after structural relaxation, with properties calculated at the GGA-PBE level.

The structure belongs to space group Amm2 (No. 38); the cell edges are 4.184, 9.260 and 9.357 Å and the angles 90.00°, 90.00° and 90.00°. The asymmetric unit holds Zr at (0.000, 0.000, 0.000), Zr at (0.000, 0.247, 0.757), Zr at (0.500, 0.000, 0.757), Zr at (0.500, 0.248, 0.509), Cd at (0.500, 0.000, 0.248) and Sn at (0.000, 0.000, 0.506).

The total energy is -0.26387 hartree per atom. As for the energy of formation from the pure elements: -154 meV/atom. For the density of states at the Fermi level, the calculation gives 19.47 states/eV per cell.

Record 13
Below is Nd2Mg2Cd after structural relaxation, with properties calculated at the GGA-PBE level.

The structure belongs to space group C2/m (No. 12); the cell edges are 14.147, 3.373 and 6.110 Å and the angles 90.00°, 98.97° and 90.00°. The asymmetric unit holds Nd at (0.199, 0.000, 0.234), Mg at (0.086, 0.000, 0.680) and Cd at (0.000, 0.500, 0.000).

The total energy is -0.10056 hartree per atom. As for the energy of formation from the pure elements: -8 meV/atom. For the density of states at the Fermi level, the calculation gives 8.53 states/eV per cell.

Record 14
Below is TaGa3P after structural relaxation, with properties calculated at the GGA-PBE level.

The structure belongs to space group Pm-3m (No. 221); the cell edges are 5.051, 5.051 and 5.051 Å and the angles 90.00°, 90.00° and 90.00°. The asymmetric unit holds Ta at (0.000, 0.000, 0.000), Ga at (0.000, 0.000, 0.500) and P at (0.500, 0.500, 0.500).

The total energy is -0.15589 hartree per atom. As for the energy of formation from the pure elements: 1027 meV/atom. For the density of states at the Fermi level, the calculation gives 4.75 states/eV per cell.

Record 15
Below is CsBO6 after structural relaxation, with properties calculated at the GGA-PBE level.

The structure belongs to space group I-42m (No. 121); the cell edges are 5.549, 5.549 and 8.047 Å and the angles 90.00°, 90.00° and 90.00°. The asymmetric unit holds Cs at (0.000, 0.000, 0.000), B at (0.000, 0.000, 0.500), O at (0.000, 0.500, 0.250) and O at (0.141, 0.141, 0.382).

As for the uncorrected formation energy: -0.53 eV per formula unit. The total energy is -0.17368 hartree per atom. For the density of states at the Fermi level, the calculation gives 3.17 states/eV per cell.

Record 16
Below is AcBiRhS after structural relaxation, with properties calculated at the GGA-PBE level.

The structure belongs to space group P4/nmm (No. 129, origin choice 2); the cell edges are 4.932, 4.932 and 8.709 Å and the angles 90.00°, 90.00° and 90.00°. The asymmetric unit holds Ac at (0.250, 0.250, 0.179), Bi at (0.250, 0.250, 0.639), Rh at (0.250, 0.750, 0.500) and S at (0.250, 0.750, 0.000).

As for the uncorrected formation energy: -4.32 eV per formula unit. The total energy is -0.21859 hartree per atom. For the density of states at the Fermi level, the calculation gives 4.11 states/eV per cell.

Record 17
Below is HoAg5Au6 after structural relaxation, with properties calculated at the GGA-PBE level.

The structure belongs to space group C2/m (No. 12); the cell edges are 9.236, 12.822 and 4.267 Å and the angles 90.00°, 117.40° and 90.00°. The asymmetric unit holds Ho at (0.000, 0.000, 0.000), Ag at (0.000, 0.172, 0.500), Ag at (0.000, 0.334, 0.000), Ag at (0.000, 0.500, 0.500), Au at (0.249, 0.167, 0.249) and Au at (0.250, 0.000, 0.750).

The total energy is -0.12560 hartree per atom. As for the energy of formation from the pure elements: -210 meV/atom. For the density of states at the Fermi level, the calculation gives 8.44 states/eV per cell.

Record 18
Below is ZrAl2SbI after structural relaxation, with properties calculated at the GGA-PBE level.

The structure belongs to space group P4/mmm (No. 123); the cell edges are 5.350, 5.350 and 5.361 Å and the angles 90.00°, 90.00° and 90.00°. The asymmetric unit holds Zr at (0.000, 0.000, 0.000), Al at (0.000, 0.500, 0.500), Sb at (0.500, 0.500, 0.000) and I at (0.000, 0.000, 0.500).

As for the uncorrected formation energy: 5.36 eV per formula unit. The total energy is -0.12018 hartree per atom. For the density of states at the Fermi level, the calculation gives 5.63 states/eV per cell.

Record 19
Below is LaNdDy3 after structural relaxation, with properties calculated at the GGA-PBE level.

The structure belongs to space group P2_1/m (No. 11); the cell edges are 3.673, 11.698 and 8.679 Å and the angles 90.00°, 102.13° and 90.00°. The asymmetric unit holds La at (0.187, 0.250, 0.374), Nd at (0.483, 0.750, 0.973), Dy at (0.150, 0.750, 0.302) and Dy at (0.342, 0.003, 0.686).

The total energy is -0.16128 hartree per atom. As for the energy of formation from the pure elements: 312 meV/atom. For the density of states at the Fermi level, the calculation gives 15.50 states/eV per cell.

Record 20
Below is RbSiCl2 after structural relaxation, with properties calculated at the GGA-PBE level.

The structure belongs to space group R-3m (No. 166, hexagonal axes); the cell edges are 4.3535, 4.3535 and 26.2098 Å and the angles 90.00°, 90.00° and 120.00°. The asymmetric unit holds Rb at (0.0000, 0.0000, 0.0000), Si at (0.0000, 0.0000, 0.5000) and Cl at (0.0000, 0.0000, 0.1203).

As for the uncorrected formation energy: -1.53 eV per formula unit. The total energy is -0.10667 hartree per atom. For the density of states at the Fermi level, the calculation gives 6.19 states/eV per cell.